{"formula": "NiAs2O", "functional": "PBE+U", "state": "relaxed", "lattice": [[5.0245, 0.0000, 0.0000], [0.0000, 5.0245, 0.0000], [2.5122, 2.5122, 5.2173]], "species": ["Ni", "Ni", "As", "As", "As", "As", "O", "O"], "fractional_positions": [[0.0000, 0.0000, 0.0000], [0.7500, 0.2500, 0.5000], [0.6165, 0.1250, 0.2500], [0.1335, 0.6250, 0.2500], [0.3750, 0.3835, 0.7500], [0.8750, 0.8665, 0.7500], [0.5000, 0.5000, 0.0000], [0.2500, 0.7500, 0.5000]], "energy_ev_per_atom": -3.98, "spacegroup": "I-42d"}